Material: Tl2In2Au15
Method: DFT, PBE-GGA
State: optimized geometry

## Properties
Crystal system: trigonal
Symmetry: R-3m (166)

a b c (Å): 7.4055 7.4055 7.4055
angles (deg): 84.29 84.29 84.29
Last column: nearest neighbours and their distance in Å.
Sites, in units of the cell vectors:
Tl  0.1371  0.1371  0.1371  12 Au 3.35-3.47, 1 In 3.62
Tl  0.8629  0.8629  0.8629  12 Au 3.35-3.47, 1 In 3.62
In  0.3946  0.3946  0.3946  1 In 2.96, 6 Au 3.00
In  0.6054  0.6054  0.6054  1 In 2.96, 6 Au 3.00
Au  0.0000  0.5000  0.5000  8 Au 2.86-2.87, 2 In 3.00
Au  0.1652  0.1652  0.6642  8 Au 2.86-2.88, 1 In 3.00
Au  0.1652  0.6642  0.1652  8 Au 2.86-2.88, 1 In 3.00
Au  0.1688  0.5000  0.8312  6 Au 2.86-2.88
Au  0.1688  0.8312  0.5000  6 Au 2.86-2.88
Au  0.3358  0.8348  0.8348  8 Au 2.86-2.88, 1 In 3.00
Au  0.5000  0.0000  0.5000  8 Au 2.86-2.87, 2 In 3.00
Au  0.5000  0.1688  0.8312  6 Au 2.86-2.88
Au  0.5000  0.5000  0.0000  8 Au 2.86-2.87, 2 In 3.00
Au  0.5000  0.8312  0.1688  6 Au 2.86-2.88
Au  0.6642  0.1652  0.1652  8 Au 2.86-2.88, 1 In 3.00
Au  0.8312  0.1688  0.5000  6 Au 2.86-2.88
Au  0.8312  0.5000  0.1688  6 Au 2.86-2.88
Au  0.8348  0.3358  0.8348  8 Au 2.86-2.88, 1 In 3.00
Au  0.8348  0.8348  0.3358  8 Au 2.86-2.88, 1 In 3.00

---

Material: TlIn2Au
Method: DFT, PBE-GGA
State: optimized geometry

## Properties
Energy relative to the lowest polymorph listed for this composition (meV per atom): 133
Crystal system: tetragonal
Symmetry: P4/mmm (123)

a b c (Å): 4.7265 4.7265 4.4922
angles (deg): 90.00 90.00 90.00
Last column: nearest neighbours and their distance in Å.
Sites, in units of the cell vectors:
Tl  0.0000  0.0000  0.0000  8 In 3.26, 4 Au 3.34
In  0.0000  0.5000  0.5000  4 Tl 3.26, 4 Au 3.26, 4 In 3.34
In  0.5000  0.0000  0.5000  4 Tl 3.26, 4 Au 3.26, 4 In 3.34
Au  0.5000  0.5000  0.0000  8 In 3.26, 4 Tl 3.34

---

Material: TlInAu2
Method: DFT, PBE-GGA
State: optimized geometry

## Properties
Crystal system: monoclinic
Symmetry: Pm (6)

a b c (Å): 4.0400 4.1690 5.7516
angles (deg): 90.00 105.25 90.00
Last column: nearest neighbours and their distance in Å.
Sites, in units of the cell vectors:
Tl  0.0000  0.0000  0.0000  6 Au 2.90-3.06
In  0.3322  0.5000  0.5977  6 Au 2.92-3.04
Au  0.5331  0.5000  0.1241  2 Au 2.92, 2 In 2.92-3.04, 4 Tl 2.95-3.02
Au  0.8018  0.0000  0.4777  2 Tl 2.90-3.06, 2 Au 2.92, 4 In 2.94-3.02

---

Material: TlIn3Au3
Method: DFT, PBE-GGA
State: optimized geometry

## Properties
Energy relative to the lowest polymorph listed for this composition (meV per atom): 142
Crystal system: cubic
Symmetry: Pm-3n (223)

a b c (Å): 7.6795 7.6795 7.6795
angles (deg): 90.00 90.00 90.00
Last column: nearest neighbours and their distance in Å.
Sites, in units of the cell vectors:
Tl  0.0000  0.0000  0.0000  12 In 4.29, 12 Au 4.29
Tl  0.5000  0.5000  0.5000  12 In 4.29, 12 Au 4.29
In  0.0000  0.2500  0.5000  4 Au 2.72
In  0.0000  0.7500  0.5000  4 Au 2.72
In  0.2500  0.5000  0.0000  4 Au 2.72
In  0.5000  0.0000  0.2500  4 Au 2.72
In  0.5000  0.0000  0.7500  4 Au 2.72
In  0.7500  0.5000  0.0000  4 Au 2.72
Au  0.0000  0.5000  0.2500  4 In 2.72
Au  0.0000  0.5000  0.7500  4 In 2.72
Au  0.2500  0.0000  0.5000  4 In 2.72
Au  0.5000  0.2500  0.0000  4 In 2.72
Au  0.5000  0.7500  0.0000  4 In 2.72
Au  0.7500  0.0000  0.5000  4 In 2.72

---

Material: Tl12In6Au
Method: DFT, PBE-GGA
State: optimized geometry

## Properties
Crystal system: trigonal
Symmetry: R-3 (148)

a b c (Å): 8.7811 8.7811 8.7811
angles (deg): 106.36 106.36 106.36
Last column: nearest neighbours and their distance in Å.
Sites, in units of the cell vectors:
Tl  0.0451  0.0565  0.6966  3 Tl 3.10-3.18, 2 In 3.29-3.33
Tl  0.0565  0.6966  0.0451  3 Tl 3.10-3.18, 2 In 3.29-3.33
Tl  0.2211  0.7641  0.4937  3 In 3.24-3.56, 3 Tl 3.48-3.60
Tl  0.2359  0.5063  0.7789  3 In 3.24-3.56, 3 Tl 3.48-3.60
Tl  0.3034  0.9549  0.9435  3 Tl 3.10-3.18, 2 In 3.29-3.33
Tl  0.4937  0.2211  0.7641  3 In 3.24-3.56, 3 Tl 3.48-3.60
Tl  0.5063  0.7789  0.2359  3 In 3.24-3.56, 3 Tl 3.48-3.60
Tl  0.6966  0.0451  0.0565  3 Tl 3.10-3.18, 2 In 3.29-3.33
Tl  0.7641  0.4937  0.2211  3 In 3.24-3.56, 3 Tl 3.48-3.60
Tl  0.7789  0.2359  0.5063  3 In 3.24-3.56, 3 Tl 3.48-3.60
Tl  0.9435  0.3034  0.9549  3 Tl 3.10-3.18, 2 In 3.29-3.33
Tl  0.9549  0.9435  0.3034  3 Tl 3.10-3.18, 2 In 3.29-3.33
In  0.1191  0.3515  0.3634  1 Au 2.95, 3 Tl 3.24-3.29
In  0.3515  0.3634  0.1191  1 Au 2.95, 3 Tl 3.24-3.29
In  0.3634  0.1191  0.3515  1 Au 2.95, 3 Tl 3.24-3.29
In  0.6366  0.8809  0.6485  1 Au 2.95, 3 Tl 3.24-3.29
In  0.6485  0.6366  0.8809  1 Au 2.95, 3 Tl 3.24-3.29
In  0.8809  0.6485  0.6366  1 Au 2.95, 3 Tl 3.24-3.29
Au  0.5000  0.5000  0.5000  6 In 2.95

---

Material: TlIn3Au2
Method: DFT, PBE-GGA
State: optimized geometry

## Properties
Crystal system: monoclinic
Symmetry: C2/m (12)

a b c (Å): 8.0220 8.0220 9.3019
angles (deg): 102.83 102.83 33.18
Last column: nearest neighbours and their distance in Å.
Sites, in units of the cell vectors:
Tl  0.1280  0.1280  0.0422  4 Au 3.24-3.36, 4 In 3.24-3.57
Tl  0.8720  0.8720  0.9578  4 Au 3.24-3.36, 4 In 3.24-3.57
In  0.0111  0.0111  0.3317  4 Au 2.82-2.88
In  0.3353  0.3353  0.2244  3 Au 2.84-2.91
In  0.3364  0.3364  0.6029  4 Au 2.76-2.94
In  0.6636  0.6636  0.3971  4 Au 2.76-2.94
In  0.6647  0.6647  0.7756  3 Au 2.84-2.91
In  0.9889  0.9889  0.6683  4 Au 2.82-2.88
Au  0.1557  0.1557  0.5914  7 In 2.76-2.94
Au  0.4900  0.4900  0.8458  1 Au 2.81, 4 In 2.82-2.91
Au  0.5100  0.5100  0.1542  1 Au 2.81, 4 In 2.82-2.91
Au  0.8443  0.8443  0.4086  7 In 2.76-2.94

---

Number 1: ΔE_f -19 meV/atom, calculated volume 21.1 Å³/atom, uncorrected energy -3.1439 eV per atom. Number 2: ΔE_f 10 meV/atom, calculated volume 25.1 Å³/atom, uncorrected energy -2.7700 eV per atom. Number 3: ΔE_f -108 meV/atom, calculated volume 23.4 Å³/atom, uncorrected energy -3.0233 eV per atom. Number 4: ΔE_f 54 meV/atom, calculated volume 32.4 Å³/atom, uncorrected energy -2.8622 eV per atom. Number 5: ΔE_f 42 meV/atom, calculated volume 30.2 Å³/atom, uncorrected energy -2.4902 eV per atom. Number 6: ΔE_f -132 meV/atom, calculated volume 26.6 Å³/atom, uncorrected energy -2.9877 eV per atom.